1.
DFT (PBE-GGA) results for a relaxed Th3Ga2Ru2C3 crystal.

As for the total energy: -7.672 eV per atom.

It has space group I4/mmm (No. 139), with a = 3.8581 Å, b = 3.8581 Å, c = 24.3637 Å, α = 90.00°, β = 90.00° and γ = 90.00°. The inequivalent atoms are Th at (0.0000, 0.0000, 0.0000), Th at (0.0000, 0.0000, 0.3913), Ga at (0.0000, 0.5000, 0.2500), Ru at (0.0000, 0.0000, 0.1817), C at (0.0000, 0.0000, 0.1015) and C at (0.0000, 0.0000, 0.5000).



2.
DFT (PBE-GGA) results for a relaxed TiMnNiPd2 crystal.

As for the total energy: -6.117 eV per atom.

It has space group P4/mmm (No. 123), with a = 4.7043 Å, b = 4.7043 Å, c = 4.1130 Å, α = 90.00°, β = 90.00° and γ = 90.00°. The inequivalent atoms are Ti at (0.0000, 0.0000, 0.0000), Mn at (0.5000, 0.5000, 0.0000), Ni at (0.0000, 0.0000, 0.5000) and Pd at (0.0000, 0.5000, 0.5000).



3.
DFT (PBE-GGA) results for a relaxed LaNd7Sm12 crystal.

The excess energy over the best structure of this formula in the dataset comes out at 0 meV/atom. As for the total energy: -4.528 eV per atom.

It has space group R-3 (No. 148, hexagonal axes), with a = 12.3709 Å, b = 12.3709 Å, c = 15.9404 Å, α = 90.00°, β = 90.00° and γ = 120.00°. The inequivalent atoms are La at (0.0000, 0.0000, 0.0000), Nd at (0.0000, 0.0000, 0.5000), Nd at (0.0514, 0.4622, 0.5834), Sm at (0.0200, 0.5763, 0.2171) and Sm at (0.0511, 0.8637, 0.2965).



4.
DFT (PBE-GGA) results for a relaxed Pm2CuSb4Pd3 crystal.

The raw formation energy is -707 meV/atom. As for the total energy: -5.274 eV per atom.

It has space group P-4m2 (No. 115), with a = 4.4451 Å, b = 4.4451 Å, c = 11.3944 Å, α = 90.00°, β = 90.00° and γ = 90.00°. The inequivalent atoms are Pm at (0.0000, 0.5000, 0.2307), Cu at (0.5000, 0.5000, 0.0000), Sb at (0.0000, 0.0000, 0.5000), Sb at (0.0000, 0.5000, 0.8698), Sb at (0.5000, 0.5000, 0.5000), Pd at (0.0000, 0.0000, 0.0000) and Pd at (0.0000, 0.5000, 0.6419).